Computed, not measured: a relaxed structure of Ce2SnAs2N2 at the PBE level of DFT.

Lattice parameters (Å, degrees): 6.2397 6.2397 7.0265 118.21 118.21 36.37
Last column: nearest neighbours and their distance in Å.
Sites, in units of the cell vectors:
Ce 0.1915 0.1915 0.2533  3 N 2.25-2.30
Ce 0.8085 0.8085 0.7467  3 N 2.25-2.30
Sn 0.0000 0.0000 0.5000  2 N 2.23
As 0.4455 0.4455 0.1761  2 Sn 2.82
As 0.5545 0.5545 0.8239  2 Sn 2.82
N 0.2095 0.2095 0.5946  1 Sn 2.23, 3 Ce 2.25-2.30
N 0.7905 0.7905 0.4054  1 Sn 2.23, 3 Ce 2.25-2.30

Computed properties:
D(E_F) = 0.23 states/eV/cell
SG = C2/m (12)
formation energy (no corrections) = -6.07 eV/f.u.